(1)
Here is crystalline TmCdPd2 at its relaxed geometry from Alexandria. Energies are from GGA-PBE.

Size of the total moment in μB per formula unit: 0.00
Energy relative to the elements in kJ per mole of atoms: -73.9
SG: Fm-3m, No. 225
E above lowest polymorph in meV per atom: 0.0

Structure (extended XYZ):
```
4
Lattice="0.000 3.362 3.362 3.362 0.000 3.362 3.362 3.362 0.000" Properties=species:S:1:pos:R:3 pbc="T T T"
Tm 0.000 0.000 0.000
Cd 3.362 3.362 3.362
Pd 1.681 1.681 1.681
Pd 5.043 5.043 5.043
```


(2)
Here is crystalline Tm4CdPd2 at its relaxed geometry from Alexandria. Energies are from GGA-PBE.

Size of the total moment in μB per formula unit: 0.00
Energy relative to the elements in kJ per mole of atoms: -45.2
SG: R-3m, No. 166
E above lowest polymorph in meV per atom: 63.5

Structure (extended XYZ):
```
7
Lattice="2.346 1.354 9.575 -2.346 1.354 9.575 0.000 -2.709 9.575" Properties=species:S:1:pos:R:3 pbc="T T T"
Tm 0.000 0.000 3.239
Tm 0.000 0.000 8.556
Tm 0.000 0.000 20.168
Tm 0.000 0.000 25.485
Cd 0.000 0.000 14.362
Pd 0.000 0.000 11.508
Pd 0.000 0.000 17.217
```


(3)
Here is crystalline Tm5Cd2Pd2 at its relaxed geometry from Alexandria. Energies are from GGA-PBE.

Size of the total moment in μB per formula unit: 0.00
Energy relative to the elements in kJ per mole of atoms: -49.1
SG: Cmce, No. 64

Structure (extended XYZ):
```
18
Lattice="7.991 -3.804 0.000 7.991 3.804 0.000 0.000 0.000 7.452" Properties=species:S:1:pos:R:3 pbc="T T T"
Tm 0.000 0.000 0.000
Tm 6.027 2.453 5.002
Tm 6.027 1.351 1.276
Tm 9.955 2.453 5.002
Tm 9.955 1.351 1.276
Tm 7.991 0.000 3.726
Tm 6.027 -1.351 6.176
Tm 6.027 -2.453 2.450
Tm 9.955 -1.351 6.176
Tm 9.955 -2.453 2.450
Cd 3.480 0.000 0.000
Cd 4.512 0.000 3.726
Cd 11.471 0.000 3.726
Cd 12.503 0.000 0.000
Pd 7.991 2.810 2.755
Pd 7.991 0.994 6.481
Pd 7.991 -0.994 0.971
Pd 7.991 -2.810 4.697
```


(4)
Here is crystalline Tm4CdPd15 at its relaxed geometry from Alexandria. Energies are from GGA-PBE.

Size of the total moment in μB per formula unit: 0.00
Energy relative to the elements in kJ per mole of atoms: -75.0
SG: P4/mmm, No. 123

Structure (extended XYZ):
```
20
Lattice="4.070 0.000 0.000 0.000 4.070 0.000 0.000 0.000 20.489" Properties=species:S:1:pos:R:3 pbc="T T T"
Tm 0.000 0.000 2.056
Tm 0.000 0.000 6.184
Tm 0.000 0.000 14.305
Tm 0.000 0.000 18.434
Cd 0.000 0.000 10.245
Pd 0.000 2.035 0.000
Pd 0.000 2.035 4.116
Pd 0.000 2.035 8.224
Pd 0.000 2.035 12.266
Pd 0.000 2.035 16.373
Pd 2.035 0.000 0.000
Pd 2.035 0.000 4.116
Pd 2.035 0.000 8.224
Pd 2.035 0.000 12.266
Pd 2.035 0.000 16.373
Pd 2.035 2.035 2.066
Pd 2.035 2.035 6.164
Pd 2.035 2.035 10.245
Pd 2.035 2.035 14.325
Pd 2.035 2.035 18.424
```


(5)
Here is crystalline Tm2Cd3Pd7 at its relaxed geometry from Alexandria. Energies are from GGA-PBE.

Size of the total moment in μB per formula unit: 0.00
Energy relative to the elements in kJ per mole of atoms: -45.0
SG: Cmmm, No. 65
E above lowest polymorph in meV per atom: 146.4

Structure (extended XYZ):
```
12
Lattice="2.407 -10.482 0.000 2.407 10.482 0.000 0.000 0.000 4.746" Properties=species:S:1:pos:R:3 pbc="T T T"
Tm 2.407 7.458 0.000
Tm 2.407 -7.458 0.000
Cd 2.407 3.179 2.373
Cd 2.407 0.000 2.373
Cd 2.407 -3.179 2.373
Pd 0.000 0.000 0.000
Pd 2.407 8.973 2.373
Pd 2.407 4.548 0.000
Pd 2.407 1.511 0.000
Pd 2.407 -1.511 0.000
Pd 2.407 -4.548 0.000
Pd 2.407 -8.973 2.373
```


(6)
Here is crystalline TmCd3Pd4 at its relaxed geometry from Alexandria. Energies are from GGA-PBE.

Size of the total moment in μB per formula unit: 0.00
Energy relative to the elements in kJ per mole of atoms: -56.5
SG: Pmma, No. 51
E above lowest polymorph in meV per atom: 0.0

Structure (extended XYZ):
```
16
Lattice="9.432 0.000 0.000 0.000 6.542 0.000 0.000 0.000 4.717" Properties=species:S:1:pos:R:3 pbc="T T T"
Tm 0.000 0.000 0.000
Tm 4.716 0.000 0.000
Cd 0.000 3.271 0.000
Cd 2.358 0.000 2.346
Cd 2.358 3.271 2.342
Cd 4.716 3.271 0.000
Cd 7.074 0.000 2.370
Cd 7.074 3.271 2.374
Pd 0.000 1.670 2.358
Pd 0.000 4.872 2.358
Pd 2.358 1.669 4.700
Pd 2.358 4.873 4.700
Pd 4.716 1.670 2.358
Pd 4.716 4.872 2.358
Pd 7.074 1.669 0.017
Pd 7.074 4.873 0.017
```


(7)
Here is crystalline Tm4Cd5Pd2 at its relaxed geometry from Alexandria. Energies are from GGA-PBE.

Size of the total moment in μB per formula unit: 0.00
Energy relative to the elements in kJ per mole of atoms: -48.7
SG: P2/m, No. 10

Structure (extended XYZ):
```
11
Lattice="7.621 0.000 0.000 0.000 3.520 0.000 -0.664 0.000 9.685" Properties=species:S:1:pos:R:3 pbc="T T T"
Tm 1.039 0.000 3.460
Tm 1.114 0.000 9.165
Tm 5.843 0.000 0.520
Tm 5.918 0.000 6.225
Cd 0.995 1.760 6.299
Cd 3.330 1.760 1.769
Cd 3.479 1.760 4.843
Cd 3.628 1.760 7.916
Cd 5.962 1.760 3.386
Pd 0.427 1.760 1.353
Pd 6.531 1.760 8.332
```


(8)
Here is crystalline TmCd11Pd at its relaxed geometry from Alexandria. Energies are from GGA-PBE.

Size of the total moment in μB per formula unit: 0.00
Energy relative to the elements in kJ per mole of atoms: -11.7
SG: C2/m, No. 12

Structure (extended XYZ):
```
13
Lattice="2.880 -7.076 0.000 2.880 7.076 0.000 -2.838 0.000 6.986" Properties=species:S:1:pos:R:3 pbc="T T T"
Tm 0.000 0.000 0.000
Cd 1.440 3.538 0.000
Cd 0.095 4.672 4.510
Cd -0.022 1.464 5.499
Cd 2.828 4.672 2.476
Cd -0.022 -1.464 5.499
Cd 1.440 -3.538 0.000
Cd 1.462 0.000 3.493
Cd 2.945 1.464 1.487
Cd 0.095 -4.672 4.510
Cd 2.945 -1.464 1.487
Cd 2.828 -4.672 2.476
Pd -1.419 0.000 3.493
```


(9)
Here is crystalline TmCd3Pd3 at its relaxed geometry from Alexandria. Energies are from GGA-PBE.

Size of the total moment in μB per formula unit: 0.00
Energy relative to the elements in kJ per mole of atoms: -47.2
SG: R3m, No. 160

Structure (extended XYZ):
```
7
Lattice="4.643 2.680 1.898 -4.643 2.680 1.898 0.000 -5.361 1.898" Properties=species:S:1:pos:R:3 pbc="T T T"
Tm 0.000 0.000 0.000
Cd -2.317 -1.338 1.906
Cd 2.317 -1.338 1.906
Cd 0.000 2.675 1.906
Pd 0.000 -2.681 0.955
Pd -2.322 1.340 0.955
Pd 2.322 1.340 0.955
```


(10)
Here is crystalline TmCd2Pd3 at its relaxed geometry from Alexandria. Energies are from GGA-PBE.

Size of the total moment in μB per formula unit: 0.00
Energy relative to the elements in kJ per mole of atoms: -61.4
SG: P-3m1, No. 164
E above lowest polymorph in meV per atom: 0.0

Structure (extended XYZ):
```
12
Lattice="4.718 0.000 0.000 -2.359 4.086 0.000 0.000 0.000 11.511" Properties=species:S:1:pos:R:3 pbc="T T T"
Tm 0.000 2.724 1.940
Tm 2.359 1.362 9.571
Cd 0.000 0.000 0.000
Cd 0.000 0.000 5.756
Cd 0.000 2.724 7.629
Cd 2.359 1.362 3.882
Pd 0.000 0.000 2.934
Pd 0.000 0.000 8.577
Pd 0.000 2.724 4.785
Pd 0.000 2.724 10.534
Pd 2.359 1.362 0.977
Pd 2.359 1.362 6.726
```


(11)
Here is crystalline Tm2CdPd2 at its relaxed geometry from Alexandria. Energies are from GGA-PBE.

Size of the total moment in μB per formula unit: 0.00
Energy relative to the elements in kJ per mole of atoms: -79.0
SG: P4/mbm, No. 127

Structure (extended XYZ):
```
10
Lattice="7.710 0.000 0.000 0.000 7.710 0.000 0.000 0.000 3.622" Properties=species:S:1:pos:R:3 pbc="T T T"
Tm 1.301 2.554 0.000
Tm 2.554 6.409 0.000
Tm 5.156 1.301 0.000
Tm 6.409 5.156 0.000
Cd 0.000 0.000 1.811
Cd 3.855 3.855 1.811
Pd 1.007 4.862 1.811
Pd 2.848 1.007 1.811
Pd 4.862 6.703 1.811
Pd 6.703 2.848 1.811
```


(12)
Here is crystalline Tm3CdPd6 at its relaxed geometry from Alexandria. Energies are from GGA-PBE.

Size of the total moment in μB per formula unit: 0.00
Energy relative to the elements in kJ per mole of atoms: -66.2
SG: Cmc2_1, No. 36
E above lowest polymorph in meV per atom: 138.4

Structure (extended XYZ):
```
20
Lattice="5.344 -7.210 0.000 5.344 7.210 0.000 0.000 0.000 5.087" Properties=species:S:1:pos:R:3 pbc="T T T"
Tm 5.344 5.528 2.543
Tm 3.332 1.452 4.485
Tm 3.332 -1.452 1.941
Tm 7.356 1.452 4.485
Tm 7.356 -1.452 1.941
Tm 5.344 -5.528 0.000
Cd 5.344 2.493 2.334
Cd 5.344 -2.493 4.877
Pd 2.710 3.070 1.570
Pd 1.447 0.768 2.454
Pd 1.447 -0.768 4.997
Pd 5.344 3.812 4.979
Pd 2.710 -3.070 4.113
Pd 5.344 0.195 0.898
Pd 5.344 -0.195 3.441
Pd 7.979 3.070 1.570
Pd 5.344 -3.812 2.436
Pd 9.241 0.768 2.454
Pd 9.241 -0.768 4.997
Pd 7.979 -3.070 4.113
```


> Number 3 is which compound?

Tm5Cd2Pd2


> size of the total moment of number 10 (TmCd2Pd3)?

0.00 μB per formula unit


Copy entry 4 word for word.
Here is crystalline Tm4CdPd15 at its relaxed geometry from Alexandria. Energies are from GGA-PBE.

Size of the total moment in μB per formula unit: 0.00
Energy relative to the elements in kJ per mole of atoms: -75.0
SG: P4/mmm, No. 123

Structure (extended XYZ):
```
20
Lattice="4.070 0.000 0.000 0.000 4.070 0.000 0.000 0.000 20.489" Properties=species:S:1:pos:R:3 pbc="T T T"
Tm 0.000 0.000 2.056
Tm 0.000 0.000 6.184
Tm 0.000 0.000 14.305
Tm 0.000 0.000 18.434
Cd 0.000 0.000 10.245
Pd 0.000 2.035 0.000
Pd 0.000 2.035 4.116
Pd 0.000 2.035 8.224
Pd 0.000 2.035 12.266
Pd 0.000 2.035 16.373
Pd 2.035 0.000 0.000
Pd 2.035 0.000 4.116
Pd 2.035 0.000 8.224
Pd 2.035 0.000 12.266
Pd 2.035 0.000 16.373
Pd 2.035 2.035 2.066
Pd 2.035 2.035 6.164
Pd 2.035 2.035 10.245
Pd 2.035 2.035 14.325
Pd 2.035 2.035 18.424
```